An optimized crystal structure of AlRe2Ag. Source: Alexandria, functional GGA-PBE.

Lattice parameters (Å, degrees): 2.858 3.823 5.735 90.00 90.00 90.00
Atoms (fractional coordinates):
Re: 0.000 0.000 0.021
Re: 0.500 0.500 0.215
Al: 0.500 0.500 0.745
Ag: 0.000 0.000 0.519

Values from the calculation:
* DFT formation energy: 0.20 eV/atom
* total moment: 0.00 Bohr magnetons per cell